No. 1
Crystalline Ac2Si2HIr2 at its relaxed geometry, computed with GGA-PBE.

Cell: 6.123 6.123 7.319 Å, 124.87 124.87 40.61°
Fractional coordinates of all 7 atoms:
Ac  0.054  0.054  0.300
Ac  0.946  0.946  0.700
Si  0.310  0.310  0.250
Si  0.690  0.690  0.750
H  0.500  0.500  0.000
Ir  0.298  0.298  0.907
Ir  0.702  0.702  0.093

**VASP energy**: -6.47 eV/atom

***

No. 2
Crystalline LaAu2Cl at its relaxed geometry, computed with GGA-PBE.

Cell: 5.171 5.171 5.171 Å, 60.00 60.00 60.00°
Fractional coordinates of all 4 atoms:
La  0.000  0.000  0.000
Au  0.250  0.250  0.250
Au  0.750  0.750  0.750
Cl  0.500  0.500  0.500

**Uncorrected formation energy**: -71.5 kJ/mol of atoms
**VASP energy**: -4.07 eV/atom

***

No. 3
Crystalline Sm6TlBi2Te3 at its relaxed geometry, computed with GGA-PBE.

Cell: 10.048 10.048 9.045 Å, 102.65 102.65 25.72°
Fractional coordinates of all 12 atoms:
Sm  0.001  0.001  0.256
Sm  0.333  0.333  0.918
Sm  0.337  0.337  0.418
Sm  0.663  0.663  0.582
Sm  0.667  0.667  0.082
Sm  0.999  0.999  0.744
Tl  0.500  0.500  0.500
Bi  0.166  0.166  0.834
Bi  0.834  0.834  0.166
Te  0.169  0.169  0.334
Te  0.500  0.500  0.000
Te  0.831  0.831  0.666

**Uncorrected formation energy**: -103.8 kJ/mol of atoms
**VASP energy**: -5.06 eV/atom

***

No. 4
Crystalline CaTaTc2 at its relaxed geometry, computed with GGA-PBE.

Cell: 5.525 5.525 5.525 Å, 139.22 139.22 59.04°
Fractional coordinates of all 4 atoms:
Ca  0.000  0.000  0.000
Ta  0.250  0.750  0.500
Tc  0.500  0.500  0.000
Tc  0.750  0.250  0.500

**VASP energy**: -8.02 eV/atom
**ΔE_f**: 0.629 eV/atom

***

No. 5
Crystalline Pu2MgNbN4 at its relaxed geometry, computed with GGA-PBE.

Cell: 5.653 3.312 5.779 Å, 90.00 109.97 90.00°
Fractional coordinates of all 8 atoms:
Pu  0.000  0.000  0.000
Pu  0.000  0.500  0.500
Mg  0.500  0.000  0.500
Nb  0.500  0.500  0.000
N  0.265  0.500  0.244
N  0.267  0.000  0.761
N  0.733  0.000  0.239
N  0.735  0.500  0.756

**Uncorrected formation energy**: -106.1 kJ/mol of atoms
**VASP energy**: -10.30 eV/atom

***

No. 6
Crystalline Cu3Te2 at its relaxed geometry, computed with GGA-PBE.

Cell: 11.227 5.045 12.013 Å, 68.85 24.78 86.37°
Fractional coordinates of all 10 atoms:
Cu  0.000  0.000  0.000
Cu  0.250  0.250  0.250
Cu  0.441  0.585  0.691
Cu  0.559  0.967  0.809
Cu  0.585  0.441  0.283
Cu  0.967  0.559  0.665
Te  0.278  0.704  0.596
Te  0.654  0.828  0.972
Te  0.704  0.278  0.422
Te  0.828  0.654  0.546

**Uncorrected formation energy**: 14.5 kJ/mol of atoms
**VASP energy**: -3.56 eV/atom

***

no.,total moment (μB per cell)
1,0.00
2,0.00
3,0.00
4,0.00
5,9.10
6,0.00